No. 1
A plane-wave DFT calculation with PBE was carried out for ReOs after structural relaxation.

Summary:
**SG**: Cm
**Total magnetic moment**: 0.00 μB per formula unit
**Energy of formation**: 69 meV per atom
**Final energy**: -11.7695 eV/atom

a = 4.7581 Å, b = 4.7581 Å, c = 5.4975 Å
α = 106.81°, β = 106.81°, γ = 48.21°
Closest atoms and distances in Å follow each position.
Positions (direct):
Re1 0.0000 0.0000 0.0000  5 Re 2.71-2.79, 7 Os 2.73-2.76
Re2 0.0017 0.0017 0.5087  4 Re 2.71-2.79, 8 Os 2.73-2.76
Re3 0.3326 0.3326 0.1749  7 Os 2.71-2.79, 5 Re 2.74-2.78
Os1 0.3358 0.3358 0.6691  7 Re 2.71-2.79, 5 Os 2.73-2.77
Os2 0.6666 0.6666 0.8396  5 Os 2.73-2.77, 7 Re 2.73-2.75
Os3 0.6679 0.6679 0.3359  8 Re 2.72-2.76, 4 Os 2.73-2.77

***

No. 2
A plane-wave DFT calculation with PBE was carried out for NaHoCd after structural relaxation.

Summary:
**SG**: P3m1
**Total magnetic moment**: 0.00 μB per formula unit
**Energy of formation**: 43 meV per atom
**Final energy**: -2.2276 eV/atom

a = 5.3238 Å, b = 5.3238 Å, c = 3.2412 Å
α = 90.00°, β = 90.00°, γ = 120.00°
Closest atoms and distances in Å follow each position.
Positions (direct):
Na1 0.0000 0.0000 0.0000  3 Cd 3.07, 2 Na 3.24
Ho1 0.3333 0.6667 0.5026  2 Ho 3.24, 6 Na 3.47-3.48, 6 Cd 3.47-3.48
Cd1 0.6667 0.3333 0.0045  3 Na 3.07, 2 Cd 3.24